Material: K2BaSn
Method: DFT, PBE
State: relaxed

Cell lengths 5.2582, 5.2582, 14.1826 Å; angles 79.32, 79.32, 90.00 degrees
With the nearest neighbours (Å) after each atom.
Atoms (fractional coordinates):
K  0.5894  0.1250  0.2500  2 K 3.46, 2 Sn 3.83
K  0.1606  0.6250  0.2500  2 K 3.46, 2 Sn 3.83
K  0.3750  0.4106  0.7500  2 K 3.46, 2 Sn 3.83
K  0.8750  0.8394  0.7500  2 K 3.46, 2 Sn 3.83
Ba  0.0000  0.0000  0.0000  4 Sn 3.72, 4 K 3.96
Ba  0.7500  0.2500  0.5000  4 Sn 3.72, 4 K 3.96
Sn  0.5000  0.5000  0.0000  4 Ba 3.72, 4 K 3.83
Sn  0.2500  0.7500  0.5000  4 Ba 3.72, 4 K 3.83

Results
- calculated total energy (eV/atom) = -2.07
- energy of formation from the pure elements (eV/atom) = -0.036
- space-group type = I-42d, No. 122